## Ge2Bi2Se5 (PBE-GGA)

Data for a geometry-optimized Ge2Bi2Se5 structure.

Cell: 4.863 9.056 6.258 Å, 101.92 90.00 105.58°
Element x y z (fractional)
Se 0.000 0.000 0.000
Se 0.318 0.636 0.960
Se 0.682 0.364 0.040
Bi 0.446 0.892 0.683
Ge 0.839 0.677 0.079
Se 0.867 0.735 0.482
Bi 0.554 0.108 0.317
Se 0.133 0.265 0.518
Ge 0.161 0.323 0.921

Calculated values
SG = No. 12
Energy relative to the elements, uncorrected = -0.14 eV per atom
Final energy = -3.960 eV per atom
Crystal system = monoclinic

## Sr2Sn8Rh (PBE-GGA)

Data for a geometry-optimized Sr2Sn8Rh structure.

Cell: 4.807 4.807 12.721 Å, 90.00 90.00 90.00°
Element x y z (fractional)
Sn 0.500 0.000 0.500
Sn 0.000 0.500 0.882
Sn 0.500 0.500 0.307
Sn 0.500 0.000 0.118
Rh 0.000 0.000 0.000
Sr 0.000 0.000 0.305
Sn 0.500 0.500 0.693
Sn 0.000 0.500 0.118
Sn 0.500 0.000 0.882
Sn 0.000 0.500 0.500
Sr 0.000 0.000 0.695

Calculated values
Calculated formation energy = -0.38 eV per atom
SG = No. 123
Final energy = -4.268 eV per atom
Crystal system = tetragonal

## LiGdCd2 (PBE-GGA)

Data for a geometry-optimized LiGdCd2 structure.

Cell: 5.090 5.090 5.090 Å, 60.00 60.00 60.00°
Each line ends with the local moment (μB).
Element x y z (fractional)
Gd 0.000 0.000 0.000  7.10
Li 0.500 0.500 0.500  0.01
Cd 0.250 0.250 0.250  0.01
Cd 0.750 0.750 0.750  0.01

Calculated values
Calculated formation energy = -0.26 eV per atom
Offset from the most stable computed form = 0.057 eV/f.u.
SG = No. 225
Final energy = -4.718 eV per atom
Crystal system = cubic

## Sc2H (PBE-GGA)

Data for a geometry-optimized Sc2H structure.

Cell: 5.292 5.771 6.665 Å, 90.00 90.00 90.00°
Element x y z (fractional)
Sc 0.501 0.414 0.627
Sc 0.982 0.080 0.623
H 0.890 0.418 0.621
Sc 0.001 0.086 0.127
Sc 0.982 0.580 0.877
Sc 0.001 0.586 0.373
H 0.390 0.582 0.379
Sc 0.482 0.420 0.123
Sc 0.482 0.920 0.377
Sc 0.501 0.914 0.873
H 0.390 0.082 0.121
H 0.890 0.918 0.879

Calculated values
SG = No. 33
Final energy = -5.676 eV per atom
Crystal system = orthorhombic

What is the formula in the third record?
LiGdCd2

Which value of final energy does entry 1 give?
-3.960 eV per atom

Among the records above, which one has the highest final energy?
Ge2Bi2Se5